This record from Alexandria via LeMat-Bulk describes BeRuCl after structural relaxation. The functional is PBE-GGA.

abc: 3.9852 3.9852 3.9852
angles: 60.00 60.00 60.00
Last column: nearest neighbours and their distance in Å.
Sites, in units of the cell vectors:
1 Ru 0.7500 0.7500 0.7500  4 Be 2.44, 4 Cl 2.44
2 Be 0.0000 0.0000 0.0000  4 Ru 2.44
3 Cl 0.5000 0.5000 0.5000  4 Ru 2.44

Summary:
* energy relative to the elements, uncorrected: 2.4 eV/f.u.
* space group: F-43m, No. 216
* polymorph energy (0 for the lowest one): 0.643 eV/atom
* DOS at the Fermi energy: 1.10 states/eV per atom

=====

This record from Alexandria via LeMat-Bulk describes BeRuCl after structural relaxation. The functional is PBE-GGA.

abc: 2.8334 2.8334 7.2441
angles: 90.00 90.00 120.00
Last column: nearest neighbours and their distance in Å.
Sites, in units of the cell vectors:
1 Ru 0.3333 0.6667 0.7648  3 Be 2.51
2 Be 0.0000 0.0000 0.0277  3 Cl 2.09
3 Cl 0.6667 0.3333 0.2075  3 Be 2.09

Summary:
* energy relative to the elements, uncorrected: 0.5 eV/f.u.
* space group: P3m1, No. 156
* polymorph energy (0 for the lowest one): 0.000 eV/atom
* DOS at the Fermi energy: 0.57 states/eV per atom

=====

This record from Alexandria via LeMat-Bulk describes BeRuSCl2 after structural relaxation. The functional is PBE-GGA.

abc: 4.1516 4.1516 5.2891
angles: 90.00 90.00 90.00
Last column: nearest neighbours and their distance in Å.
Sites, in units of the cell vectors:
1 Ru 0.5000 0.5000 0.5000  4 S 2.94
2 S 0.0000 0.0000 0.5000  2 Be 2.64, 4 Ru 2.94
3 Be 0.0000 0.0000 0.0000  4 Cl 2.08
4 Cl 0.0000 0.5000 0.0000  2 Be 2.08
5 Cl 0.5000 0.0000 0.0000  2 Be 2.08

Summary:
* energy relative to the elements, uncorrected: 1.7 eV/f.u.
* space group: P4/mmm, No. 123
* polymorph energy (0 for the lowest one): 0.000 eV/atom
* DOS at the Fermi energy: 0.50 states/eV per atom

=====

This record from Alexandria via LeMat-Bulk describes BeRuSCl2 after structural relaxation. The functional is PBE-GGA.

abc: 4.9107 4.9107 4.4214
angles: 90.00 90.00 90.00
Last column: nearest neighbours and their distance in Å.
Sites, in units of the cell vectors:
1 Ru 0.0000 0.0000 0.0000  2 S 2.21, 4 Cl 2.46
2 S 0.0000 0.0000 0.5000  2 Ru 2.21
3 Be 0.5000 0.5000 0.5000  8 Cl 3.30, 4 S 3.47
4 Cl 0.0000 0.5000 0.0000  2 Ru 2.46
5 Cl 0.5000 0.0000 0.0000  2 Ru 2.46

Summary:
* energy relative to the elements, uncorrected: 2.4 eV/f.u.
* space group: P4/mmm, No. 123
* polymorph energy (0 for the lowest one): 0.142 eV/atom
* DOS at the Fermi energy: 0.49 states/eV per atom

=====

This record from Alexandria via LeMat-Bulk describes BeRuS2Cl after structural relaxation. The functional is PBE-GGA.

abc: 4.5529 4.5529 4.9142
angles: 90.00 90.00 90.00
Last column: nearest neighbours and their distance in Å.
Sites, in units of the cell vectors:
1 Ru 0.0000 0.0000 0.0000  4 S 2.28, 2 Cl 2.46
2 S 0.0000 0.5000 0.0000  2 Ru 2.28
3 S 0.5000 0.0000 0.0000  2 Ru 2.28
4 Be 0.5000 0.5000 0.5000  4 Cl 3.22, 8 S 3.35
5 Cl 0.0000 0.0000 0.5000  2 Ru 2.46

Summary:
* energy relative to the elements, uncorrected: 3.2 eV/f.u.
* space group: P4/mmm, No. 123
* polymorph energy (0 for the lowest one): 0.056 eV/atom
* DOS at the Fermi energy: 0.76 states/eV per atom

=====

This record from Alexandria via LeMat-Bulk describes BeRuS2Cl after structural relaxation. The functional is PBE-GGA.

abc: 4.3921 4.3921 4.2538
angles: 90.00 90.00 90.00
Last column: nearest neighbours and their distance in Å.
Sites, in units of the cell vectors:
1 Ru 0.5000 0.5000 0.5000  8 S 3.06, 4 Cl 3.11
2 S 0.0000 0.5000 0.0000  2 Be 2.20
3 S 0.5000 0.0000 0.0000  2 Be 2.20
4 Be 0.0000 0.0000 0.0000  2 Cl 2.13, 4 S 2.20
5 Cl 0.0000 0.0000 0.5000  2 Be 2.13

Summary:
* energy relative to the elements, uncorrected: 2.9 eV/f.u.
* space group: P4/mmm, No. 123
* polymorph energy (0 for the lowest one): 0.000 eV/atom
* DOS at the Fermi energy: 1.16 states/eV per atom

=====

This record from Alexandria via LeMat-Bulk describes Be2TlRuCl after structural relaxation. The functional is PBE-GGA.

abc: 4.4948 5.5408 4.4948
angles: 90.00 90.00 90.00
Last column: nearest neighbours and their distance in Å.
Sites, in units of the cell vectors:
1 Ru 0.0000 0.5000 0.0000  2 Tl 2.77
2 Tl 0.0000 0.0000 0.0000  4 Be 2.25
3 Be 0.0000 0.0000 0.5000  2 Tl 2.25
4 Be 0.5000 0.0000 0.0000  2 Tl 2.25
5 Cl 0.5000 0.5000 0.5000  4 Ru 3.18

Summary:
* energy relative to the elements, uncorrected: 6.8 eV/f.u.
* space group: P4/mmm, No. 123
* DOS at the Fermi energy: 1.33 states/eV per atom

=====

This record from Alexandria via LeMat-Bulk describes BeZnRu2Cl after structural relaxation. The functional is PBE-GGA.

abc: 4.3456 4.1953 4.3456
angles: 90.00 90.00 90.00
Last column: nearest neighbours and their distance in Å.
Sites, in units of the cell vectors:
1 Ru 0.0000 0.0000 0.5000  2 Be 2.17
2 Ru 0.5000 0.0000 0.0000  2 Be 2.17
3 Zn 0.5000 0.5000 0.5000  8 Ru 3.02, 4 Cl 3.07
4 Be 0.0000 0.0000 0.0000  2 Cl 2.10, 4 Ru 2.17
5 Cl 0.0000 0.5000 0.0000  2 Be 2.10

Summary:
* energy relative to the elements, uncorrected: 4.6 eV/f.u.
* space group: P4/mmm, No. 123
* DOS at the Fermi energy: 0.67 states/eV per atom

=====

This record from Alexandria via LeMat-Bulk describes Be3SCl after structural relaxation. The functional is PBE-GGA.

abc: 4.2738 4.2738 4.2738
angles: 90.00 90.00 90.00
Last column: nearest neighbours and their distance in Å.
Sites, in units of the cell vectors:
1 Be 0.0000 0.5000 0.0000  2 S 2.14
2 Be 0.0000 0.0000 0.5000  2 S 2.14
3 Be 0.5000 0.0000 0.0000  2 S 2.14
4 S 0.0000 0.0000 0.0000  6 Be 2.14
5 Cl 0.5000 0.5000 0.5000  12 Be 3.02

Summary:
* energy relative to the elements, uncorrected: 4.0 eV/f.u.
* space group: Pm-3m, No. 221
* polymorph energy (0 for the lowest one): 0.000 eV/atom
* DOS at the Fermi energy: 0.77 states/eV per atom

=====

This record from Alexandria via LeMat-Bulk describes BeS4Cl after structural relaxation. The functional is PBE-GGA.

abc: 5.0260 3.5970 20.6791
angles: 85.01 87.75 63.08
Last column: nearest neighbours and their distance in Å.
Sites, in units of the cell vectors:
1 Be 0.7500 0.8410 0.3179  2 Cl 2.10, 2 S 2.14
2 Be 0.2500 0.1590 0.6821  2 Cl 2.10, 2 S 2.14
3 S 0.0902 0.5975 0.3911  1 S 1.99, 1 Be 2.14
4 S 0.1240 0.7611 0.0915  1 S 1.99
5 S 0.5902 0.9887 0.6089  1 S 1.99, 1 Be 2.14
6 S 0.6240 0.8526 0.9085  1 S 1.99
7 S 0.9098 0.4025 0.6089  1 S 1.99, 1 Be 2.14
8 S 0.4098 0.0113 0.3911  1 S 1.99, 1 Be 2.14
9 S 0.8760 0.2389 0.9085  1 S 1.99
10 S 0.3760 0.1474 0.0915  1 S 1.99
11 Cl 0.7500 0.3675 0.2651  2 Be 2.10
12 Cl 0.2500 0.6325 0.7349  2 Be 2.10

Summary:
* energy relative to the elements, uncorrected: -1.1 eV/f.u.
* space group: C2/c, No. 15
* DOS at the Fermi energy: 0.35 states/eV per atom

=====

This record from Alexandria via LeMat-Bulk describes BeSCl3 after structural relaxation. The functional is PBE-GGA.

abc: 4.6057 4.6057 4.6057
angles: 90.00 90.00 90.00
Last column: nearest neighbours and their distance in Å.
Sites, in units of the cell vectors:
1 Be 0.0000 0.0000 0.0000  6 Cl 2.30
2 S 0.5000 0.5000 0.5000  12 Cl 3.26
3 Cl 0.0000 0.5000 0.0000  2 Be 2.30
4 Cl 0.0000 0.0000 0.5000  2 Be 2.30
5 Cl 0.5000 0.0000 0.0000  2 Be 2.30

Summary:
* energy relative to the elements, uncorrected: 0.0 eV/f.u.
* space group: Pm-3m, No. 221
* polymorph energy (0 for the lowest one): 0.000 eV/atom
* DOS at the Fermi energy: 0.04 states/eV per atom

=====

This record from Alexandria via LeMat-Bulk describes BeS6Cl after structural relaxation. The functional is PBE-GGA.

abc: 4.6078 9.5227 9.5227
angles: 33.50 87.03 92.97
Last column: nearest neighbours and their distance in Å.
Sites, in units of the cell vectors:
1 Be 0.5000 0.0000 0.0000  2 S 2.14, 2 Cl 2.30
2 S 0.6544 0.3910 0.6090  1 S 2.02, 1 Be 2.14
3 S 0.3913 0.0329 0.3769  2 S 1.97-2.18
4 S 0.3456 0.6090 0.3910  1 S 2.02, 1 Be 2.14
5 S 0.6087 0.3769 0.0329  2 S 1.97-2.18
6 S 0.6087 0.9671 0.6231  2 S 1.97-2.18
7 S 0.3913 0.6231 0.9671  2 S 1.97-2.18
8 Cl 0.0000 0.0000 0.0000  2 Be 2.30

Summary:
* energy relative to the elements, uncorrected: -0.3 eV/f.u.
* space group: C2/m, No. 12
* DOS at the Fermi energy: 0.34 states/eV per atom

=====

This record from Alexandria via LeMat-Bulk describes BeS8Cl2 after structural relaxation. The functional is PBE-GGA.

abc: 3.4566 21.6775 16.5401
angles: 14.94 83.81 80.57
Last column: nearest neighbours and their distance in Å.
Sites, in units of the cell vectors:
1 Be 0.0000 0.0000 0.0000  4 S 1.99-2.20
2 S 0.9574 0.6414 0.2887  1 S 1.89
3 S 0.9713 0.1554 0.2779  1 S 1.91
4 S 0.0426 0.3586 0.7113  1 S 1.89
5 S 0.1940 0.4608 0.0036  1 S 1.90
6 S 0.0287 0.8446 0.7221  1 S 1.91
7 S 0.5330 0.0990 0.8112  2 Be 1.99-2.20
8 S 0.4670 0.9010 0.1888  2 Be 1.99-2.20
9 S 0.8060 0.5392 0.9964  1 S 1.90
10 Cl 0.7048 0.2591 0.4629  2 S 2.47-2.62
11 Cl 0.2952 0.7409 0.5371  2 S 2.47-2.62

Summary:
* energy relative to the elements, uncorrected: 1.6 eV/f.u.
* space group: P-1, No. 2
* DOS at the Fermi energy: 0.21 states/eV per atom

=====

This record from Alexandria via LeMat-Bulk describes BeS3Cl after structural relaxation. The functional is PBE-GGA.

abc: 4.3573 4.3573 4.3573
angles: 90.00 90.00 90.00
Last column: nearest neighbours and their distance in Å.
Sites, in units of the cell vectors:
1 Be 0.0000 0.0000 0.0000  6 S 2.18
2 S 0.0000 0.5000 0.0000  2 Be 2.18
3 S 0.0000 0.0000 0.5000  2 Be 2.18
4 S 0.5000 0.0000 0.0000  2 Be 2.18
5 Cl 0.5000 0.5000 0.5000  12 S 3.08

Summary:
* energy relative to the elements, uncorrected: 2.9 eV/f.u.
* space group: Pm-3m, No. 221
* polymorph energy (0 for the lowest one): 0.000 eV/atom
* DOS at the Fermi energy: 0.81 states/eV per atom

=====

This record from Alexandria via LeMat-Bulk describes BeSbS2Cl after structural relaxation. The functional is PBE-GGA.

abc: 4.6059 4.6059 4.1989
angles: 90.00 90.00 90.00
Last column: nearest neighbours and their distance in Å.
Sites, in units of the cell vectors:
1 Sb 0.5000 0.5000 0.5000  8 S 3.12, 4 Cl 3.26
2 S 0.0000 0.5000 0.0000  2 Be 2.30
3 S 0.5000 0.0000 0.0000  2 Be 2.30
4 Be 0.0000 0.0000 0.0000  2 Cl 2.10, 4 S 2.30
5 Cl 0.0000 0.0000 0.5000  2 Be 2.10

Summary:
* energy relative to the elements, uncorrected: -0.6 eV/f.u.
* space group: P4/mmm, No. 123
* polymorph energy (0 for the lowest one): 0.000 eV/atom
* DOS at the Fermi energy: 0.32 states/eV per atom

=====

This record from Alexandria via LeMat-Bulk describes BeSbS2Cl after structural relaxation. The functional is PBE-GGA.

abc: 5.0540 5.0540 5.1495
angles: 90.00 90.00 90.00
Last column: nearest neighbours and their distance in Å.
Sites, in units of the cell vectors:
1 Sb 0.0000 0.0000 0.0000  4 S 2.53, 2 Cl 2.57
2 S 0.0000 0.5000 0.0000  2 Sb 2.53
3 S 0.5000 0.0000 0.0000  2 Sb 2.53
4 Be 0.5000 0.5000 0.5000  4 Cl 3.57, 8 S 3.61
5 Cl 0.0000 0.0000 0.5000  2 Sb 2.57

Summary:
* energy relative to the elements, uncorrected: 3.2 eV/f.u.
* space group: P4/mmm, No. 123
* polymorph energy (0 for the lowest one): 0.776 eV/atom
* DOS at the Fermi energy: 0.65 states/eV per atom

=====

This record from Alexandria via LeMat-Bulk describes BeSeSCl2 after structural relaxation. The functional is PBE-GGA.

abc: 4.0207 4.0207 7.4258
angles: 90.00 90.00 90.00
Last column: nearest neighbours and their distance in Å.
Sites, in units of the cell vectors:
1 Be 0.0000 0.0000 0.0000  4 Cl 2.01
2 S 0.0000 0.0000 0.5000  4 Se 2.84
3 Se 0.5000 0.5000 0.5000  4 S 2.84
4 Cl 0.0000 0.5000 0.0000  2 Be 2.01
5 Cl 0.5000 0.0000 0.0000  2 Be 2.01

Summary:
* energy relative to the elements, uncorrected: -0.3 eV/f.u.
* space group: P4/mmm, No. 123
* polymorph energy (0 for the lowest one): 0.000 eV/atom
* DOS at the Fermi energy: 0.41 states/eV per atom

=====

This record from Alexandria via LeMat-Bulk describes BeSeSCl2 after structural relaxation. The functional is PBE-GGA.

abc: 4.9407 4.9407 4.9668
angles: 90.00 90.00 90.00
Last column: nearest neighbours and their distance in Å.
Sites, in units of the cell vectors:
1 Be 0.5000 0.5000 0.5000  4 S 3.49, 8 Cl 3.50
2 S 0.0000 0.0000 0.5000  2 Se 2.48
3 Se 0.0000 0.0000 0.0000  4 Cl 2.47, 2 S 2.48
4 Cl 0.0000 0.5000 0.0000  2 Se 2.47
5 Cl 0.5000 0.0000 0.0000  2 Se 2.47

Summary:
* energy relative to the elements, uncorrected: 3.4 eV/f.u.
* space group: P4/mmm, No. 123
* polymorph energy (0 for the lowest one): 0.746 eV/atom
* DOS at the Fermi energy: 0.34 states/eV per atom

=====

This record from Alexandria via LeMat-Bulk describes BeSeS2Cl after structural relaxation. The functional is PBE-GGA.

abc: 4.8657 4.8657 4.7495
angles: 90.00 90.00 90.00
Last column: nearest neighbours and their distance in Å.
Sites, in units of the cell vectors:
1 Be 0.5000 0.5000 0.5000  8 S 3.40, 4 Cl 3.44
2 S 0.0000 0.5000 0.0000  2 Se 2.43
3 S 0.5000 0.0000 0.0000  2 Se 2.43
4 Se 0.0000 0.0000 0.0000  2 Cl 2.37, 4 S 2.43
5 Cl 0.0000 0.0000 0.5000  2 Se 2.37

Summary:
* energy relative to the elements, uncorrected: 4.3 eV/f.u.
* space group: P4/mmm, No. 123
* polymorph energy (0 for the lowest one): 0.594 eV/atom
* DOS at the Fermi energy: 0.37 states/eV per atom

=====

This record from Alexandria via LeMat-Bulk describes BeSeS2Cl after structural relaxation. The functional is PBE-GGA.

abc: 4.5482 4.5482 4.1312
angles: 90.00 90.00 90.00
Last column: nearest neighbours and their distance in Å.
Sites, in units of the cell vectors:
1 Be 0.0000 0.0000 0.0000  2 Cl 2.07, 4 S 2.27
2 S 0.0000 0.5000 0.0000  2 Be 2.27
3 S 0.5000 0.0000 0.0000  2 Be 2.27
4 Se 0.5000 0.5000 0.5000  8 S 3.07, 4 Cl 3.22
5 Cl 0.0000 0.0000 0.5000  2 Be 2.07

Summary:
* energy relative to the elements, uncorrected: 1.3 eV/f.u.
* space group: P4/mmm, No. 123
* polymorph energy (0 for the lowest one): 0.000 eV/atom
* DOS at the Fermi energy: 0.49 states/eV per atom

=====

V values (in Å³ per atom) by entry order: 14.918, 16.788, 18.232, 21.325, 20.373, 16.411, 22.388, 15.845, 15.612, 27.674, 19.540, 28.357, 28.081, 16.546, 17.815, 26.307, 24.010, 24.249, 22.489, 17.092.